# 1
! Na3Sr4Ga, relaxed, DFT PBE-GGA; values from VASP
&SYSTEM
  ibrav = 0, nat = 8, ntyp = 3
/
ATOMIC_SPECIES
Na 22.99 Na.upf
Sr 87.62 Sr.upf
Ga 69.72 Ga.upf
CELL_PARAMETERS angstrom
-0.2003 -0.6516 -3.9735
2.6063 -3.0535 0.3694
-15.4241 -12.8166 2.8794
ATOMIC_POSITIONS crystal
Na 0.5000 0.5000 0.5000
Na 0.5000 0.5000 0.2275
Na 0.5000 0.5000 0.7725
Sr 0.0000 0.0000 0.9103
Sr 0.0000 0.0000 0.0897
Sr 0.0000 0.0000 0.6375
Sr 0.0000 0.0000 0.3625
Ga 0.5000 0.5000 0.0000
! SG: P4/mmm (123)
! DOS at the Fermi energy: 0.7006 states/eV/atom
! DFT total energy: -14.32 eV for the cell shown

# 2
! Cs2AgHgBr, relaxed, DFT PBE-GGA; values from VASP
&SYSTEM
  ibrav = 0, nat = 5, ntyp = 4
/
ATOMIC_SPECIES
Cs 132.91 Cs.upf
Ag 107.87 Ag.upf
Br 79.90 Br.upf
Hg 200.59 Hg.upf
CELL_PARAMETERS angstrom
6.8463 0.0000 0.0000
0.0000 6.8463 0.0000
0.0000 0.0000 5.4202
ATOMIC_POSITIONS crystal
Cs 0.5000 0.0000 0.0000
Cs 0.0000 0.5000 0.0000
Ag 0.0000 0.0000 0.0000
Br 0.5000 0.5000 0.5000
Hg 0.0000 0.0000 0.5000
! ΔE_f (raw): -586 meV/atom
! SG: P4/mmm (123)
! DOS at the Fermi energy: 0.2977 states/eV/atom

# 3
! SrGa2Co2Ge, relaxed, DFT PBE-GGA; values from VASP
&SYSTEM
  ibrav = 0, nat = 6, ntyp = 4
/
ATOMIC_SPECIES
Ga 69.72 Ga.upf
Co 58.93 Co.upf
Ge 72.64 Ge.upf
Sr 87.62 Sr.upf
CELL_PARAMETERS angstrom
-1.7775 -3.9150 0.8606
3.3840 -1.9702 -1.9733
2.8990 -0.1831 5.1542
ATOMIC_POSITIONS crystal
Ga 0.5000 0.5000 0.2434
Ga 0.5000 0.5000 0.7566
Co 0.0000 0.5000 0.0000
Co 0.5000 0.0000 0.0000
Ge 0.0000 0.0000 0.0000
Sr 0.0000 0.0000 0.5000
! SG: P4/mmm (123)
! DOS at the Fermi energy: 0.6682 states/eV/atom
! DFT total energy: -27.55 eV for the cell shown

# 4
! NpHgSe2, relaxed, DFT PBE-GGA; values from VASP
&SYSTEM
  ibrav = 0, nat = 4, ntyp = 3
/
ATOMIC_SPECIES
Se 78.96 Se.upf
Np 237.00 Np.upf
Hg 200.59 Hg.upf
CELL_PARAMETERS angstrom
-2.5596 -0.0312 -3.2491
-3.5251 -2.1577 0.1648
-6.4695 6.7878 2.3986
ATOMIC_POSITIONS crystal
Se 0.2805 0.2805 0.1584
Se 0.0535 0.0535 0.8396
Np 0.6668 0.6668 0.9996
Hg 0.4992 0.4992 0.5024
! ΔE_f (raw): -755 meV/atom
! SG: R3m (160)
! DOS at the Fermi energy: 2.1522 states/eV/atom
! energy above the most stable polymorph in this dataset: 0.0 meV/atom

# 5
! HoIn6Hg8, relaxed, DFT PBE-GGA; values from VASP
&SYSTEM
  ibrav = 0, nat = 15, ntyp = 3
/
ATOMIC_SPECIES
Hg 200.59 Hg.upf
In 114.82 In.upf
Ho 164.93 Ho.upf
CELL_PARAMETERS angstrom
-5.6864 5.6323 0.6081
-2.2860 1.3416 7.5764
2.7656 6.9438 2.9260
ATOMIC_POSITIONS crystal
Hg 0.4053 0.7837 0.0607
Hg 0.5947 0.2163 0.9393
Hg 0.0607 0.4053 0.7837
Hg 0.7837 0.0607 0.4053
Hg 0.9393 0.5947 0.2163
Hg 0.6732 0.6732 0.6732
Hg 0.3268 0.3268 0.3268
Hg 0.2163 0.9393 0.5947
In 0.2806 0.5676 0.8847
In 0.8847 0.2806 0.5676
In 0.4324 0.1153 0.7194
In 0.1153 0.7194 0.4324
In 0.7194 0.4324 0.1153
In 0.5676 0.8847 0.2806
Ho 0.0000 0.0000 0.0000
! SG: R-3 (148)
! DOS at the Fermi energy: 0.4581 states/eV/atom
! DFT total energy: -23.89 eV for the cell shown

# 6
! Hf3AgN, relaxed, DFT PBE-GGA; values from VASP
&SYSTEM
  ibrav = 0, nat = 5, ntyp = 3
/
ATOMIC_SPECIES
Ag 107.87 Ag.upf
Hf 178.49 Hf.upf
N 14.01 N.upf
CELL_PARAMETERS angstrom
4.4239 0.0000 0.0000
0.0000 4.4239 0.0000
0.0000 0.0000 4.4239
ATOMIC_POSITIONS crystal
Ag 0.5000 0.5000 0.5000
Hf 0.0000 0.5000 0.0000
Hf 0.5000 0.0000 0.0000
Hf 0.0000 0.0000 0.5000
N 0.0000 0.0000 0.0000
! ΔE_f (raw): -729 meV/atom
! SG: Pm-3m (221)
! DOS at the Fermi energy: 0.4592 states/eV/atom

# 7
! Sr2BeAg, relaxed, DFT PBE-GGA; values from VASP
&SYSTEM
  ibrav = 0, nat = 4, ntyp = 3
/
ATOMIC_SPECIES
Ag 107.87 Ag.upf
Sr 87.62 Sr.upf
Be 9.01 Be.upf
CELL_PARAMETERS angstrom
-4.8396 -0.6042 1.8850
-1.0124 -3.8142 3.4303
-1.0279 1.1765 4.9899
ATOMIC_POSITIONS crystal
Ag 0.5000 0.5000 0.5000
Sr 0.2500 0.2500 0.2500
Sr 0.0000 0.0000 0.0000
Be 0.7500 0.7500 0.7500
! SG: F-43m (216)
! DOS at the Fermi energy: 0.9605 states/eV/atom
! DFT total energy: -8.51 eV for the cell shown

# 8
! NiPdSe2, relaxed, DFT PBE-GGA; values from VASP
&SYSTEM
  ibrav = 0, nat = 4, ntyp = 3
/
ATOMIC_SPECIES
Ni 58.69 Ni.upf
Pd 106.42 Pd.upf
Se 78.96 Se.upf
CELL_PARAMETERS angstrom
1.4269 1.8692 3.8188
0.4461 4.4533 0.2870
-2.8381 2.3795 2.5292
ATOMIC_POSITIONS crystal
Ni 0.0000 0.0000 0.0000
Pd 0.5000 0.5000 0.5000
Se 0.2500 0.2500 0.2500
Se 0.7500 0.7500 0.7500
! ΔE_f (raw): 55 meV/atom
! SG: Fm-3m (225)
! DOS at the Fermi energy: 0.5130 states/eV/atom
! energy above the most stable polymorph in this dataset: 275.5 meV/atom